A plane-wave DFT calculation with GGA-PBE was carried out for crystalline NdBiRhAu at its relaxed geometry.

Geometry as CIF:
```
data_NdBiRhAu
_symmetry_space_group_name_H-M 'P 1'
_symmetry_Int_Tables_number 1
_symmetry_space_group_name_Hall 'P 1'
_cell_length_a 5.040
_cell_length_b 5.040
_cell_length_c 5.040
_cell_angle_alpha 60.00
_cell_angle_beta 60.00
_cell_angle_gamma 60.00
loop_
_atom_site_label
_atom_site_fract_x
_atom_site_fract_y
_atom_site_fract_z
Nd1 0.500 0.500 0.500
Au1 0.750 0.750 0.750
Bi1 0.000 0.000 0.000
Rh1 0.250 0.250 0.250
```

## Properties
* energy: -5.28 eV/atom
* DOS(E_F): 3.09 states/eV/cell
* energy of formation from the pure elements: -1.86 eV per formula unit

***

A plane-wave DFT calculation with GGA-PBE was carried out for crystalline NdZnBiAu at its relaxed geometry.

Geometry as CIF:
```
data_NdZnBiAu
_symmetry_space_group_name_H-M 'P 1'
_symmetry_Int_Tables_number 1
_symmetry_space_group_name_Hall 'P 1'
_cell_length_a 5.166
_cell_length_b 5.166
_cell_length_c 5.166
_cell_angle_alpha 60.00
_cell_angle_beta 60.00
_cell_angle_gamma 60.00
loop_
_atom_site_label
_atom_site_fract_x
_atom_site_fract_y
_atom_site_fract_z
Nd1 0.750 0.750 0.750
Zn1 0.000 0.000 0.000
Au1 0.500 0.500 0.500
Bi1 0.250 0.250 0.250
```

## Properties
* energy: -3.71 eV/atom
* DOS(E_F): 2.05 states/eV/cell
* energy of formation from the pure elements: -1.65 eV per formula unit

***

A plane-wave DFT calculation with GGA-PBE was carried out for crystalline Ni2BiAu2 at its relaxed geometry.

Geometry as CIF:
```
data_Ni2BiAu2
_symmetry_space_group_name_H-M 'P 1'
_symmetry_Int_Tables_number 1
_symmetry_space_group_name_Hall 'P 1'
_cell_length_a 3.896
_cell_length_b 3.896
_cell_length_c 6.577
_cell_angle_alpha 72.77
_cell_angle_beta 72.77
_cell_angle_gamma 90.00
loop_
_atom_site_label
_atom_site_fract_x
_atom_site_fract_y
_atom_site_fract_z
Ni1 0.401 0.401 0.198
Ni2 0.599 0.599 0.802
Au1 0.750 0.250 0.500
Au2 0.250 0.750 0.500
Bi1 0.000 0.000 0.000
```

## Properties
* energy above the most stable polymorph in this dataset: 76 meV/atom
* energy: -4.21 eV/atom
* DOS(E_F): 3.36 states/eV/cell
* energy of formation from the pure elements: 0.94 eV per formula unit

***

A plane-wave DFT calculation with GGA-PBE was carried out for crystalline NiBi6Au2 at its relaxed geometry.

Geometry as CIF:
```
data_NiBi6Au2
_symmetry_space_group_name_H-M 'P 1'
_symmetry_Int_Tables_number 1
_symmetry_space_group_name_Hall 'P 1'
_cell_length_a 6.789
_cell_length_b 7.418
_cell_length_c 10.331
_cell_angle_alpha 90.00
_cell_angle_beta 109.19
_cell_angle_gamma 90.00
loop_
_atom_site_label
_atom_site_fract_x
_atom_site_fract_y
_atom_site_fract_z
Ni1 0.000 0.000 0.000
Ni2 0.500 0.500 0.000
Bi1 0.871 0.884 0.742
Bi2 0.629 0.384 0.258
Bi3 0.466 0.750 0.432
Bi4 0.289 0.750 0.078
Bi5 0.534 0.250 0.568
Bi6 0.211 0.250 0.922
Bi7 0.371 0.616 0.742
Bi8 0.711 0.250 0.922
Bi9 0.789 0.750 0.078
Bi10 0.129 0.116 0.258
Bi11 0.034 0.250 0.568
Bi12 0.966 0.750 0.432
Au1 0.129 0.501 0.258
Au2 0.871 0.498 0.742
Au3 0.371 0.002 0.742
Au4 0.629 0.998 0.258
```

## Properties
* energy: -3.88 eV/atom
* DOS(E_F): 9.64 states/eV/cell
* energy of formation from the pure elements: 0.71 eV per formula unit

***

A plane-wave DFT calculation with GGA-PBE was carried out for crystalline NiBi6Au at its relaxed geometry.

Geometry as CIF:
```
data_NiBi6Au
_symmetry_space_group_name_H-M 'P 1'
_symmetry_Int_Tables_number 1
_symmetry_space_group_name_Hall 'P 1'
_cell_length_a 6.333
_cell_length_b 7.121
_cell_length_c 6.675
_cell_angle_alpha 57.77
_cell_angle_beta 76.00
_cell_angle_gamma 63.03
loop_
_atom_site_label
_atom_site_fract_x
_atom_site_fract_y
_atom_site_fract_z
Ni1 0.500 0.500 0.000
Bi1 0.740 0.464 0.607
Bi2 0.740 0.071 0.393
Bi3 0.260 0.929 0.607
Bi4 0.260 0.536 0.393
Bi5 0.701 0.760 0.000
Bi6 0.299 0.240 0.000
Au1 0.000 0.000 0.000
```

## Properties
* energy: -3.92 eV/atom
* DOS(E_F): 4.07 states/eV/cell
* energy of formation from the pure elements: 1.00 eV per formula unit

***

A plane-wave DFT calculation with GGA-PBE was carried out for crystalline Ni3BiAu at its relaxed geometry.

Geometry as CIF:
```
data_Ni3BiAu
_symmetry_space_group_name_H-M 'P 1'
_symmetry_Int_Tables_number 1
_symmetry_space_group_name_Hall 'P 1'
_cell_length_a 4.687
_cell_length_b 4.687
_cell_length_c 4.687
_cell_angle_alpha 90.00
_cell_angle_beta 90.00
_cell_angle_gamma 90.00
loop_
_atom_site_label
_atom_site_fract_x
_atom_site_fract_y
_atom_site_fract_z
Ni1 0.000 0.500 0.000
Ni2 0.000 0.000 0.500
Ni3 0.500 0.000 0.000
Au1 0.000 0.000 0.000
Bi1 0.500 0.500 0.500
```

## Properties
* energy above the most stable polymorph in this dataset: 0 meV/atom
* energy: -3.96 eV/atom
* DOS(E_F): 8.66 states/eV/cell
* energy of formation from the pure elements: 4.72 eV per formula unit

***

A plane-wave DFT calculation with GGA-PBE was carried out for crystalline Ni2BiAu2 at its relaxed geometry.

Geometry as CIF:
```
data_Ni2BiAu2
_symmetry_space_group_name_H-M 'P 1'
_symmetry_Int_Tables_number 1
_symmetry_space_group_name_Hall 'P 1'
_cell_length_a 7.596
_cell_length_b 7.596
_cell_length_c 3.034
_cell_angle_alpha 90.00
_cell_angle_beta 90.00
_cell_angle_gamma 90.00
loop_
_atom_site_label
_atom_site_fract_x
_atom_site_fract_y
_atom_site_fract_z
Ni1 0.158 0.658 0.500
Ni2 0.658 0.842 0.500
Ni3 0.842 0.342 0.500
Ni4 0.342 0.158 0.500
Au1 0.365 0.865 0.000
Au2 0.865 0.635 0.000
Au3 0.635 0.135 0.000
Au4 0.135 0.365 0.000
Bi1 0.000 0.000 0.000
Bi2 0.500 0.500 0.000
```

## Properties
* energy above the most stable polymorph in this dataset: 75 meV/atom
* energy: -4.21 eV/atom
* DOS(E_F): 9.32 states/eV/cell
* energy of formation from the pure elements: 0.94 eV per formula unit

***

A plane-wave DFT calculation with GGA-PBE was carried out for crystalline Ni2BiAu at its relaxed geometry.

Geometry as CIF:
```
data_Ni2BiAu
_symmetry_space_group_name_H-M 'P 1'
_symmetry_Int_Tables_number 1
_symmetry_space_group_name_Hall 'P 1'
_cell_length_a 7.088
_cell_length_b 7.088
_cell_length_c 5.758
_cell_angle_alpha 52.01
_cell_angle_beta 52.01
_cell_angle_gamma 90.00
loop_
_atom_site_label
_atom_site_fract_x
_atom_site_fract_y
_atom_site_fract_z
Ni1 0.622 0.125 0.250
Ni2 0.128 0.625 0.250
Ni3 0.375 0.378 0.750
Ni4 0.875 0.872 0.750
Au1 0.500 0.500 0.000
Au2 0.250 0.750 0.500
Bi1 0.000 0.000 0.000
Bi2 0.750 0.250 0.500
```

## Properties
* energy: -4.35 eV/atom
* DOS(E_F): 5.89 states/eV/cell
* energy of formation from the pure elements: 1.33 eV per formula unit

***

A plane-wave DFT calculation with GGA-PBE was carried out for crystalline Ni2BiAu2 at its relaxed geometry.

Geometry as CIF:
```
data_Ni2BiAu2
_symmetry_space_group_name_H-M 'P 1'
_symmetry_Int_Tables_number 1
_symmetry_space_group_name_Hall 'P 1'
_cell_length_a 3.750
_cell_length_b 3.750
_cell_length_c 7.069
_cell_angle_alpha 74.62
_cell_angle_beta 74.62
_cell_angle_gamma 90.00
loop_
_atom_site_label
_atom_site_fract_x
_atom_site_fract_y
_atom_site_fract_z
Ni1 0.750 0.250 0.500
Ni2 0.250 0.750 0.500
Au1 0.386 0.386 0.228
Au2 0.614 0.614 0.772
Bi1 0.000 0.000 0.000
```

## Properties
* energy above the most stable polymorph in this dataset: 120 meV/atom
* energy: -4.17 eV/atom
* DOS(E_F): 3.48 states/eV/cell
* energy of formation from the pure elements: 1.16 eV per formula unit

***

A plane-wave DFT calculation with GGA-PBE was carried out for crystalline NiBi4Au2 at its relaxed geometry.

Geometry as CIF:
```
data_NiBi4Au2
_symmetry_space_group_name_H-M 'P 1'
_symmetry_Int_Tables_number 1
_symmetry_space_group_name_Hall 'P 1'
_cell_length_a 4.250
_cell_length_b 4.250
_cell_length_c 11.886
_cell_angle_alpha 79.70
_cell_angle_beta 79.70
_cell_angle_gamma 60.00
loop_
_atom_site_label
_atom_site_fract_x
_atom_site_fract_y
_atom_site_fract_z
Ni1 0.500 0.500 0.500
Bi1 0.704 0.704 0.888
Bi2 0.869 0.869 0.393
Bi3 0.296 0.296 0.112
Bi4 0.131 0.131 0.607
Au1 0.584 0.584 0.249
Au2 0.416 0.416 0.751
```

## Properties
* energy: -3.97 eV/atom
* DOS(E_F): 2.93 states/eV/cell
* energy of formation from the pure elements: 0.04 eV per formula unit

***

A plane-wave DFT calculation with GGA-PBE was carried out for crystalline NiBiAu3 at its relaxed geometry.

Geometry as CIF:
```
data_NiBiAu3
_symmetry_space_group_name_H-M 'P 1'
_symmetry_Int_Tables_number 1
_symmetry_space_group_name_Hall 'P 1'
_cell_length_a 4.803
_cell_length_b 4.803
_cell_length_c 4.803
_cell_angle_alpha 90.00
_cell_angle_beta 90.00
_cell_angle_gamma 90.00
loop_
_atom_site_label
_atom_site_fract_x
_atom_site_fract_y
_atom_site_fract_z
Ni1 0.000 0.000 0.000
Au1 0.000 0.500 0.000
Au2 0.000 0.000 0.500
Au3 0.500 0.000 0.000
Bi1 0.500 0.500 0.500
```

## Properties
* energy above the most stable polymorph in this dataset: 0 meV/atom
* energy: -3.47 eV/atom
* DOS(E_F): 3.65 states/eV/cell
* energy of formation from the pure elements: 2.14 eV per formula unit

***

A plane-wave DFT calculation with GGA-PBE was carried out for crystalline Ni4Bi2Au at its relaxed geometry.

Geometry as CIF:
```
data_Ni4Bi2Au
_symmetry_space_group_name_H-M 'P 1'
_symmetry_Int_Tables_number 1
_symmetry_space_group_name_Hall 'P 1'
_cell_length_a 4.682
_cell_length_b 4.682
_cell_length_c 7.432
_cell_angle_alpha 71.64
_cell_angle_beta 71.64
_cell_angle_gamma 90.00
loop_
_atom_site_label
_atom_site_fract_x
_atom_site_fract_y
_atom_site_fract_z
Ni1 0.813 0.813 0.374
Ni2 0.187 0.187 0.626
Ni3 0.000 0.500 0.000
Ni4 0.500 0.000 0.000
Au1 0.000 0.000 0.000
Bi1 0.626 0.626 0.749
Bi2 0.374 0.374 0.251
```

## Properties
* energy: -4.18 eV/atom
* DOS(E_F): 10.54 states/eV/cell
* energy of formation from the pure elements: 4.88 eV per formula unit

***

A plane-wave DFT calculation with GGA-PBE was carried out for crystalline Ni2Bi2Au at its relaxed geometry.

Geometry as CIF:
```
data_Ni2Bi2Au
_symmetry_space_group_name_H-M 'P 1'
_symmetry_Int_Tables_number 1
_symmetry_space_group_name_Hall 'P 1'
_cell_length_a 3.529
_cell_length_b 3.529
_cell_length_c 8.585
_cell_angle_alpha 78.14
_cell_angle_beta 78.14
_cell_angle_gamma 90.00
loop_
_atom_site_label
_atom_site_fract_x
_atom_site_fract_y
_atom_site_fract_z
Ni1 0.750 0.250 0.500
Ni2 0.250 0.750 0.500
Au1 0.000 0.000 0.000
Bi1 0.377 0.377 0.247
Bi2 0.623 0.623 0.753
```

## Properties
* energy above the most stable polymorph in this dataset: 96 meV/atom
* energy: -4.36 eV/atom
* DOS(E_F): 3.05 states/eV/cell
* energy of formation from the pure elements: 0.80 eV per formula unit

***

A plane-wave DFT calculation with GGA-PBE was carried out for crystalline NiBiAu3 at its relaxed geometry.

Geometry as CIF:
```
data_NiBiAu3
_symmetry_space_group_name_H-M 'P 1'
_symmetry_Int_Tables_number 1
_symmetry_space_group_name_Hall 'P 1'
_cell_length_a 5.366
_cell_length_b 5.366
_cell_length_c 5.366
_cell_angle_alpha 90.00
_cell_angle_beta 90.00
_cell_angle_gamma 90.00
loop_
_atom_site_label
_atom_site_fract_x
_atom_site_fract_y
_atom_site_fract_z
Ni1 0.500 0.500 0.500
Au1 0.000 0.500 0.000
Au2 0.000 0.000 0.500
Au3 0.500 0.000 0.000
Bi1 0.000 0.000 0.000
```

## Properties
* energy above the most stable polymorph in this dataset: 732 meV/atom
* energy: -2.74 eV/atom
* DOS(E_F): 14.61 states/eV/cell
* energy of formation from the pure elements: 5.80 eV per formula unit

***

A plane-wave DFT calculation with GGA-PBE was carried out for crystalline Ni2BiAu2 at its relaxed geometry.

Geometry as CIF:
```
data_Ni2BiAu2
_symmetry_space_group_name_H-M 'P 1'
_symmetry_Int_Tables_number 1
_symmetry_space_group_name_Hall 'P 1'
_cell_length_a 6.885
_cell_length_b 6.885
_cell_length_c 3.629
_cell_angle_alpha 90.00
_cell_angle_beta 90.00
_cell_angle_gamma 90.00
loop_
_atom_site_label
_atom_site_fract_x
_atom_site_fract_y
_atom_site_fract_z
Ni1 0.368 0.868 0.000
Ni2 0.868 0.632 0.000
Ni3 0.632 0.132 0.000
Ni4 0.132 0.368 0.000
Au1 0.155 0.655 0.500
Au2 0.655 0.845 0.500
Au3 0.845 0.345 0.500
Au4 0.345 0.155 0.500
Bi1 0.000 0.000 0.000
Bi2 0.500 0.500 0.000
```

## Properties
* energy above the most stable polymorph in this dataset: 0 meV/atom
* energy: -4.29 eV/atom
* DOS(E_F): 8.75 states/eV/cell
* energy of formation from the pure elements: 0.56 eV per formula unit

***

A plane-wave DFT calculation with GGA-PBE was carried out for crystalline Ni2Bi2Au at its relaxed geometry.

Geometry as CIF:
```
data_Ni2Bi2Au
_symmetry_space_group_name_H-M 'P 1'
_symmetry_Int_Tables_number 1
_symmetry_space_group_name_Hall 'P 1'
_cell_length_a 7.110
_cell_length_b 7.110
_cell_length_c 3.775
_cell_angle_alpha 90.00
_cell_angle_beta 90.00
_cell_angle_gamma 90.00
loop_
_atom_site_label
_atom_site_fract_x
_atom_site_fract_y
_atom_site_fract_z
Ni1 0.370 0.870 0.000
Ni2 0.870 0.630 0.000
Ni3 0.630 0.130 0.000
Ni4 0.130 0.370 0.000
Au1 0.000 0.000 0.000
Au2 0.500 0.500 0.000
Bi1 0.170 0.670 0.500
Bi2 0.670 0.830 0.500
Bi3 0.830 0.330 0.500
Bi4 0.330 0.170 0.500
```

## Properties
* energy above the most stable polymorph in this dataset: 0 meV/atom
* energy: -4.46 eV/atom
* DOS(E_F): 4.17 states/eV/cell
* energy of formation from the pure elements: 0.32 eV per formula unit